# 1
First-principles (GGA-PBE) data for Th5Mn2Se2 after structural relaxation, as listed in Alexandria.

## Properties
Formation energy (no corrections) = -0.564 eV per atom
Density of states at the Fermi level = 18.96 states/eV per cell
Crystal system = orthorhombic
DFT total energy = -67.48 eV/f.u.
Total moment = 2.03 μB per formula unit

a b c (Å): 8.308 7.260 8.665
angles (deg): 90.00 61.35 90.00
Last column: magnetic moment on the atom in μB.
Fractional coordinates of all 18 atoms:
1 Th 0.946 0.349 0.752  -0.10
2 Th 0.698 0.349 0.248  -0.10
3 Th 0.000 0.000 0.000  -0.12
4 Th 0.554 0.849 0.248  -0.10
5 Th 0.302 0.651 0.752  -0.10
6 Th 0.802 0.849 0.752  -0.10
7 Th 0.198 0.151 0.248  -0.10
8 Th 0.500 0.500 0.000  -0.12
9 Th 0.446 0.151 0.752  -0.10
10 Th 0.054 0.651 0.248  -0.10
11 Se 0.797 0.000 0.405  0.00
12 Se 0.297 0.500 0.405  0.00
13 Se 0.203 0.000 0.595  0.00
14 Se 0.703 0.500 0.595  0.00
15 Mn 0.100 0.365 0.000  1.41
16 Mn 0.400 0.865 0.000  1.41
17 Mn 0.600 0.135 0.000  1.41
18 Mn 0.900 0.635 0.000  1.41

=====

# 2
First-principles (GGA-PBE) data for Th5MnSe4 after structural relaxation, as listed in Alexandria.

## Properties
Formation energy (no corrections) = -1.215 eV per atom
Density of states at the Fermi level = 7.74 states/eV per cell
Crystal system = tetragonal
DFT total energy = -72.36 eV/f.u.
Total moment = 0.00 μB per formula unit

a b c (Å): 5.957 7.271 7.271
angles (deg): 80.34 65.82 65.82
Fractional coordinates of all 10 atoms:
1 Th 0.728 0.177 0.369
2 Th 0.905 0.369 0.823
3 Th 0.501 0.000 0.000
4 Th 0.097 0.631 0.177
5 Th 0.274 0.823 0.631
6 Se 0.809 0.781 0.603
7 Se 0.590 0.603 0.219
8 Se 0.193 0.219 0.397
9 Se 0.412 0.397 0.781
10 Mn 0.001 0.000 0.000

=====

# 3
First-principles (GGA-PBE) data for ThMnTlSe4 after structural relaxation, as listed in Alexandria.

## Properties
Formation energy (no corrections) = -0.953 eV per atom
Density of states at the Fermi level = 6.81 states/eV per cell
Crystal system = monoclinic
DFT total energy = -39.57 eV/f.u.
Total moment = 3.99 μB per formula unit

a b c (Å): 7.042 6.415 9.293
angles (deg): 90.00 108.04 90.00
Last column: magnetic moment on the atom in μB.
Fractional coordinates of all 14 atoms:
1 Th 0.751 0.750 0.443  0.12
2 Th 0.249 0.250 0.557  0.12
3 Tl 0.716 0.750 0.939  0.01
4 Tl 0.284 0.250 0.061  0.01
5 Se 0.979 0.013 0.286  -0.05
6 Se 0.575 0.250 0.415  0.02
7 Se 0.021 0.987 0.714  -0.05
8 Se 0.979 0.487 0.286  -0.05
9 Se 0.425 0.750 0.585  0.02
10 Se 0.568 0.250 0.844  0.02
11 Se 0.021 0.513 0.714  -0.05
12 Se 0.432 0.750 0.156  0.02
13 Mn 0.774 0.250 0.680  3.50
14 Mn 0.226 0.750 0.320  3.50

=====

# 4
First-principles (GGA-PBE) data for ThMnTl2Se4 after structural relaxation, as listed in Alexandria.

## Properties
Formation energy (no corrections) = -0.854 eV per atom
Crystal system = orthorhombic
DFT total energy = -42.09 eV/f.u.
Total moment = 5.00 μB per formula unit

a b c (Å): 8.688 8.688 8.794
angles (deg): 120.40 120.40 90.13
Last column: magnetic moment on the atom in μB.
Fractional coordinates of all 16 atoms:
1 Tl 0.500 0.000 0.000  0.00
2 Tl 0.500 0.000 0.500  0.00
3 Tl 0.500 0.500 0.000  0.03
4 Tl 0.000 0.000 0.500  0.03
5 Th 0.000 0.500 0.500  0.06
6 Th 0.000 0.500 0.000  0.06
7 Se 0.236 0.263 0.044  0.03
8 Se 0.211 0.739 0.975  0.02
9 Se 0.764 0.737 0.956  0.03
10 Se 0.761 0.289 0.525  0.02
11 Se 0.789 0.261 0.025  0.02
12 Se 0.237 0.264 0.456  0.03
13 Se 0.763 0.736 0.544  0.03
14 Se 0.239 0.711 0.475  0.02
15 Mn 0.000 0.000 0.000  4.32
16 Mn 0.500 0.500 0.500  4.32

=====

# 5
First-principles (GGA-PBE) data for TiMnSe2 after structural relaxation, as listed in Alexandria.

## Properties
Formation energy (no corrections) = -0.218 eV per atom
Density of states at the Fermi level = 12.20 states/eV per cell
Crystal system = tetragonal
DFT total energy = -24.91 eV/f.u.
Energy above the lowest structure with this stoichiometry = 0.2980 eV per atom
Total moment = 0.41 μB per formula unit

a b c (Å): 5.371 5.371 6.982
angles (deg): 67.38 67.38 90.00
Last column: magnetic moment on the atom in μB.
Fractional coordinates of all 8 atoms:
1 Se 0.095 0.625 0.250  -0.01
2 Se 0.875 0.905 0.750  -0.01
3 Se 0.655 0.125 0.250  -0.01
4 Se 0.375 0.345 0.750  -0.01
5 Ti 0.250 0.750 0.500  0.42
6 Ti 0.500 0.500 0.000  0.43
7 Mn 0.750 0.250 0.500  -0.07
8 Mn 0.000 0.000 0.000  -0.06

=====

# 6
First-principles (GGA-PBE) data for TiMnSe2 after structural relaxation, as listed in Alexandria.

## Properties
Formation energy (no corrections) = -0.516 eV per atom
Density of states at the Fermi level = 2.82 states/eV per cell
Crystal system = trigonal
DFT total energy = -26.10 eV/f.u.
Energy above the lowest structure with this stoichiometry = 0.0000 eV per atom
Total moment = 4.51 μB per formula unit

a b c (Å): 8.306 8.306 8.306
angles (deg): 24.43 24.43 24.43
Last column: magnetic moment on the atom in μB.
Fractional coordinates of all 4 atoms:
1 Se 0.898 0.898 0.898  -0.02
2 Se 0.102 0.102 0.102  -0.02
3 Mn 0.000 0.000 0.000  3.93
4 Ti 0.500 0.500 0.500  0.33